[1]
HfZrMn2 | the Alexandria database | PBE | relaxed; energy of formation = 0.4602 eV per atom; DOS at the Fermi energy = 7.95 states/eV/cell
1.0
-3.510 3.510 2.876
3.510 -3.510 2.876
3.510 3.510 -2.876
Hf Zr Mn
2 2 4
Direct
0.000 0.000 0.000
0.750 0.250 0.500
0.250 0.750 0.500
0.500 0.500 0.000
0.125 0.625 0.000
0.375 0.375 0.500
0.625 0.125 0.000
0.875 0.875 0.500


[2]
Hf2ZrMn9 | the Alexandria database | PBE | relaxed; energy of formation = -0.1383 eV per atom; DOS at the Fermi energy = 17.82 states/eV/cell
1.0
2.435 1.406 7.954
-2.435 1.406 7.954
0.000 -2.812 7.954
Hf Zr Mn
2 1 9
Direct
0.142 0.142 0.142
0.858 0.858 0.858
0.000 0.000 0.000
0.073 0.588 0.588
0.336 0.336 0.336
0.412 0.412 0.927
0.412 0.927 0.412
0.500 0.500 0.500
0.588 0.073 0.588
0.588 0.588 0.073
0.664 0.664 0.664
0.927 0.412 0.412


[3]
Hf3ZrMn | the Alexandria database | PBE | relaxed; energy above the most stable polymorph in this dataset = 1468 meV per atom; energy of formation = 1.8108 eV per atom; DOS at the Fermi energy = 5.74 states/eV/cell
1.0
5.016 0.000 0.000
0.000 5.016 0.000
0.000 0.000 5.016
Hf Zr Mn
3 1 1
Direct
0.000 0.000 0.500
0.000 0.500 0.000
0.500 0.000 0.000
0.000 0.000 0.000
0.500 0.500 0.500


[4]
Hf4Zr2Mn | the Alexandria database | PBE | relaxed; energy of formation = 0.3891 eV per atom; DOS at the Fermi energy = 9.35 states/eV/cell
1.0
3.295 -7.758 0.000
3.295 7.758 0.000
0.000 0.000 3.089
Hf Zr Mn
4 2 1
Direct
0.155 0.845 0.000
0.290 0.290 0.500
0.710 0.710 0.500
0.845 0.155 0.000
0.318 0.682 0.500
0.682 0.318 0.500
0.000 0.000 0.000


[5]
Hf6Zr2Mn | the Alexandria database | PBE | relaxed; energy of formation = 0.0184 eV per atom; DOS at the Fermi energy = 10.13 states/eV/cell
1.0
8.268 0.000 0.000
-4.134 7.160 0.000
0.000 0.000 3.253
Hf Zr Mn
6 2 1
Direct
0.000 0.249 0.000
0.000 0.627 0.500
0.249 0.000 0.000
0.373 0.373 0.500
0.627 0.000 0.500
0.751 0.751 0.000
0.333 0.667 0.000
0.667 0.333 0.000
0.000 0.000 0.500


[6]
HfZrMn4 | the Alexandria database | PBE | relaxed; energy of formation = -0.2171 eV per atom; DOS at the Fermi energy = 5.26 states/eV/cell
1.0
0.000 3.501 3.501
3.501 0.000 3.501
3.501 3.501 0.000
Hf Zr Mn
1 1 4
Direct
0.000 0.000 0.000
0.750 0.750 0.750
0.375 0.375 0.375
0.375 0.375 0.875
0.375 0.875 0.375
0.875 0.375 0.375


[7]
HfZr3Mn8 | the Alexandria database | PBE | relaxed; energy of formation = -0.1982 eV per atom; DOS at the Fermi energy = 11.51 states/eV/cell
1.0
2.482 1.433 8.091
-2.482 1.433 8.091
0.000 -2.866 8.091
Hf Zr Mn
1 3 8
Direct
0.000 0.000 0.000
0.125 0.125 0.125
0.500 0.500 0.500
0.625 0.625 0.625
0.062 0.062 0.564
0.062 0.562 0.562
0.062 0.564 0.062
0.313 0.313 0.313
0.562 0.062 0.562
0.562 0.562 0.062
0.564 0.062 0.062
0.813 0.813 0.813


[8]
HfZrMn2 | the Alexandria database | PBE | relaxed; energy of formation = -0.0752 eV per atom; DOS at the Fermi energy = 5.65 states/eV/cell
1.0
3.187 0.000 0.000
0.000 3.187 0.000
0.000 0.000 6.381
Hf Zr Mn
1 1 2
Direct
0.000 0.000 0.000
0.000 0.000 0.500
0.500 0.500 0.247
0.500 0.500 0.753


What did the first record say?
HfZrMn2 | the Alexandria database | PBE | relaxed; energy of formation = 0.4602 eV per atom; DOS at the Fermi energy = 7.95 states/eV/cell
1.0
-3.510 3.510 2.876
3.510 -3.510 2.876
3.510 3.510 -2.876
Hf Zr Mn
2 2 4
Direct
0.000 0.000 0.000
0.750 0.250 0.500
0.250 0.750 0.500
0.500 0.500 0.000
0.125 0.625 0.000
0.375 0.375 0.500
0.625 0.125 0.000
0.875 0.875 0.500


Please write out number 4 again, unchanged.
Hf4Zr2Mn | the Alexandria database | PBE | relaxed; energy of formation = 0.3891 eV per atom; DOS at the Fermi energy = 9.35 states/eV/cell
1.0
3.295 -7.758 0.000
3.295 7.758 0.000
0.000 0.000 3.089
Hf Zr Mn
4 2 1
Direct
0.155 0.845 0.000
0.290 0.290 0.500
0.710 0.710 0.500
0.845 0.155 0.000
0.318 0.682 0.500
0.682 0.318 0.500
0.000 0.000 0.000


Question: Which of these has the highest DOS at the Fermi energy?
Answer: Hf2ZrMn9